--- A ---
Compound: AlAg3I
Source: the Alexandria database
Functional: PBE
Structure: relaxed

Lattice parameters (Å, degrees): 5.4587 5.4587 5.4587 90.00 90.00 90.00
Last column: nearest neighbours and their distance in Å.
Space group Pm-3m (No. 221)
One atom of each set of equivalent atoms:
Al: 0.0000 0.0000 0.0000 x1  12 Ag 3.86
Ag: 0.0000 0.5000 0.5000 x3  2 I 2.73
I: 0.5000 0.5000 0.5000 x1  6 Ag 2.73

Values from the calculation:
The calculation puts the spin magnetization at 0.00 μB per formula unit.

---

--- B ---
Compound: AlAg3I
Source: the Alexandria database
Functional: PBE
Structure: relaxed

Lattice parameters (Å, degrees): 5.0728 5.0728 5.0728 90.00 90.00 90.00
Last column: nearest neighbours and their distance in Å.
Space group Pm-3m (No. 221)
One atom of each set of equivalent atoms:
Al: 0.0000 0.0000 0.0000 x1  6 Ag 2.54
Ag: 0.0000 0.0000 0.5000 x3  2 Al 2.54
I: 0.5000 0.5000 0.5000 x1  12 Ag 3.59

Values from the calculation:
The calculation puts the spin magnetization at 0.00 μB per formula unit.

---

Relative energy of each structure, in eV/atom: A 0.479; B 0.000.